*i*
DFT (PBE-GGA) results for a relaxed MoPdSe2 crystal.

Properties
Crystal system = tetragonal
Total magnetic moment = 0.00 μB/f.u.

The structure in CIF format:
```
data_MoPdSe2
_chemical_formula_sum 'Mo4 Pd4 Se8'
_symmetry_space_group_name_H-M 'I -4 2 d'
_symmetry_Int_Tables_number 122
_symmetry_space_group_name_Hall 'I -4 2bw'
_cell_length_a 5.8595
_cell_length_b 5.8595
_cell_length_c 10.7881
_cell_angle_alpha 90.00
_cell_angle_beta 90.00
_cell_angle_gamma 90.00
loop_
_atom_site_label
_atom_site_type_symbol
_atom_site_fract_x
_atom_site_fract_y
_atom_site_fract_z
Mo1 Mo 0.0000 0.0000 0.0000
Pd1 Pd 0.0000 0.0000 0.5000
Se1 Se 0.2367 0.2500 0.1250
```



*ii*
DFT (PBE-GGA) results for a relaxed MoPdSe2 crystal.

Properties
Crystal system = monoclinic
Total magnetic moment = 0.00 μB/f.u.

The structure in CIF format:
```
data_MoPdSe2
_chemical_formula_sum 'Mo4 Pd4 Se8'
_symmetry_space_group_name_H-M 'C 1 2/m 1'
_symmetry_Int_Tables_number 12
_cell_length_a 12.4403
_cell_length_b 3.2632
_cell_length_c 7.8728
_cell_angle_alpha 90.00
_cell_angle_beta 100.78
_cell_angle_gamma 90.00
loop_
_symmetry_equiv_pos_as_xyz
'x,y,z'
'-x,-y,-z'
'-x,y,-z'
'x,-y,z'
'x+1/2,y+1/2,z'
'-x+1/2,-y+1/2,-z'
'-x+1/2,y+1/2,-z'
'x+1/2,-y+1/2,z'
loop_
_atom_site_label
_atom_site_type_symbol
_atom_site_fract_x
_atom_site_fract_y
_atom_site_fract_z
Mo1 Mo 0.0841 0.0000 0.4618
Pd1 Pd 0.1521 0.5000 0.9558
Se1 Se 0.0469 0.5000 0.2048
Se2 Se 0.2042 0.5000 0.6721
```



Most stable: *ii*